Material: Lu5Si3C
Method: DFT, meta-GGA SCAN
State: PBEsol geometry

a b c (Å): 8.1681 8.1681 6.1038
angles (deg): 90.00 90.00 120.00
Positions (direct):
1 Lu 0.0000 0.2232 0.2500
2 Lu 0.0000 0.7768 0.7500
3 Lu 0.2232 0.0000 0.2500
4 Lu 0.2232 0.2232 0.7500
5 Lu 0.3333 0.6667 0.0000
6 Lu 0.3333 0.6667 0.5000
7 Lu 0.6667 0.3333 0.0000
8 Lu 0.6667 0.3333 0.5000
9 Lu 0.7768 0.0000 0.7500
10 Lu 0.7768 0.7768 0.2500
11 Si 0.0000 0.4083 0.7500
12 Si 0.0000 0.5917 0.2500
13 Si 0.4083 0.0000 0.7500
14 Si 0.4083 0.4083 0.2500
15 Si 0.5917 0.0000 0.2500
16 Si 0.5917 0.5917 0.7500
17 C 0.0000 0.0000 0.0000
18 C 0.0000 0.0000 0.5000

Summary:
- VASP energy: -646.659 eV/cell
- Space-group type: P6_3/mcm (193)
- Energy relative to the elements, uncorrected: -0.718 eV per atom



Material: MgC4
Method: DFT, meta-GGA SCAN
State: PBEsol geometry

a b c (Å): 4.3957 4.3957 4.3957
angles (deg): 136.35 136.35 63.45
Positions (direct):
1 Mg 0.0000 0.0000 0.0000
2 C 0.2500 0.7500 0.5000
3 C 0.3011 0.3011 0.0000
4 C 0.6989 0.6989 0.0000
5 C 0.7500 0.2500 0.5000

Summary:
- VASP energy: -35.555 eV/cell
- Space-group type: I4/mmm (139)



Material: MgC
Method: DFT, meta-GGA SCAN
State: PBEsol geometry

a b c (Å): 6.1444 6.1444 2.6153
angles (deg): 90.00 90.00 150.64
Positions (direct):
1 Mg 0.1341 0.8659 0.7500
2 Mg 0.8659 0.1341 0.2500
3 C 0.4702 0.5298 0.7500
4 C 0.5298 0.4702 0.2500

Summary:
- VASP energy: -28.360 eV/cell
- Space-group type: Cmcm (63)



Q: What is the formula in the first record?
A: Lu5Si3C



Q: The highest VASP energy belongs to which entry?
A: MgC